Entry 1:
Here is a relaxed SmScS3 crystal from Alexandria. Energies are from PBEsol.

a = 6.333 Å, b = 7.060 Å, c = 9.403 Å
α = 90.00°, β = 90.00°, γ = 90.00°
Sites, in units of the cell vectors:
Sc1 0.000 0.500 0.500
Sc2 0.000 0.500 0.000
Sc3 0.500 0.000 0.500
Sc4 0.500 0.000 0.000
S1 0.136 0.540 0.750
S2 0.864 0.460 0.250
S3 0.364 0.040 0.750
S4 0.636 0.960 0.250
S5 0.172 0.816 0.435
S6 0.828 0.184 0.935
S7 0.328 0.316 0.435
S8 0.672 0.684 0.935
S9 0.672 0.684 0.565
S10 0.328 0.316 0.065
S11 0.828 0.184 0.565
S12 0.172 0.816 0.065
Sm1 0.459 0.604 0.250
Sm2 0.541 0.396 0.750
Sm3 0.041 0.104 0.250
Sm4 0.959 0.896 0.750

Computed properties:
* formation energy without anion corrections: -10.3 eV/f.u.
* space group: Pnma (62)
* E_tot: -7.02 eV per atom
* D(E_F): 0.00 states/eV per cell

***

Entry 2:
Here is a relaxed ScSnS2 crystal from Alexandria. Energies are from PBEsol.

a = 3.591 Å, b = 3.591 Å, c = 8.521 Å
α = 77.84°, β = 77.84°, γ = 60.00°
Sites, in units of the cell vectors:
Sc1 0.500 0.500 0.500
S1 0.892 0.892 0.325
S2 0.108 0.108 0.675
Sn1 0.000 0.000 0.000

Computed properties:
* formation energy without anion corrections: -5.0 eV/f.u.
* space group: R-3m (166)
* E_tot: -6.15 eV per atom
* D(E_F): 0.70 states/eV per cell